Entry 1:
# Li7Mg3In2 | Alexandria | PBE | relaxed
data_Li7Mg3In2
_chemical_formula_sum 'Li7 Mg3 In2'
_symmetry_space_group_name_H-M 'P 1'
_symmetry_Int_Tables_number 1
_symmetry_space_group_name_Hall 'P 1'
_cell_length_a 12.784
_cell_length_b 12.784
_cell_length_c 4.445
_cell_angle_alpha 90.00
_cell_angle_beta 90.00
_cell_angle_gamma 159.58
loop_
_atom_site_label
_atom_site_fract_x
_atom_site_fract_y
_atom_site_fract_z
Li1 0.000 0.000 0.000
Li2 0.076 0.924 0.500
Li3 0.273 0.727 0.000
Li4 0.421 0.579 0.000
Li5 0.579 0.421 0.000
Li6 0.727 0.273 0.000
Li7 0.924 0.076 0.500
Mg1 0.349 0.651 0.500
Mg2 0.500 0.500 0.500
Mg3 0.651 0.349 0.500
In1 0.155 0.845 0.000
In2 0.845 0.155 0.000
# Uncorrected energy   -2.0275 eV/atom
# Magnetic moment   0.000 μB/f.u.
# ΔH_f (0 K)   -56.0 meV per atom
# N(E_F)   4.6 states/eV/f.u.
# Energy above the lowest structure with this stoichiometry   37 meV per atom



Entry 2:
# NpCdTcRh | Alexandria | PBE | relaxed
data_NpCdTcRh
_chemical_formula_sum 'Np1 Cd1 Tc1 Rh1'
_symmetry_space_group_name_H-M 'P 1'
_symmetry_Int_Tables_number 1
_symmetry_space_group_name_Hall 'P 1'
_cell_length_a 4.673
_cell_length_b 4.673
_cell_length_c 4.673
_cell_angle_alpha 60.00
_cell_angle_beta 60.00
_cell_angle_gamma 60.00
loop_
_atom_site_label
_atom_site_fract_x
_atom_site_fract_y
_atom_site_fract_z
Np1 0.000 0.000 0.000
Cd1 0.500 0.500 0.500
Tc1 0.750 0.750 0.750
Rh1 0.250 0.250 0.250
# Uncorrected energy   -7.8673 eV/atom
# Magnetic moment   2.455 μB/f.u.
# ΔH_f (0 K)   26.1 meV per atom
# N(E_F)   6.6 states/eV/f.u.



Entry 3:
# Pr3AlPd12 | Alexandria | PBE | relaxed
data_Pr3AlPd12
_chemical_formula_sum 'Pr3 Al1 Pd12'
_symmetry_space_group_name_H-M 'P 1'
_symmetry_Int_Tables_number 1
_symmetry_space_group_name_Hall 'P 1'
_cell_length_a 4.190
_cell_length_b 4.190
_cell_length_c 16.267
_cell_angle_alpha 90.00
_cell_angle_beta 90.00
_cell_angle_gamma 90.00
loop_
_atom_site_label
_atom_site_fract_x
_atom_site_fract_y
_atom_site_fract_z
Pr1 0.000 0.000 0.000
Pr2 0.000 0.000 0.261
Pr3 0.000 0.000 0.739
Al1 0.000 0.000 0.500
Pd1 0.000 0.500 0.131
Pd2 0.000 0.500 0.394
Pd3 0.000 0.500 0.606
Pd4 0.000 0.500 0.869
Pd5 0.500 0.000 0.131
Pd6 0.500 0.000 0.394
Pd7 0.500 0.000 0.606
Pd8 0.500 0.000 0.869
Pd9 0.500 0.500 0.000
Pd10 0.500 0.500 0.262
Pd11 0.500 0.500 0.500
Pd12 0.500 0.500 0.738
# Uncorrected energy   -5.7238 eV/atom
# Magnetic moment   0.000 μB/f.u.
# ΔH_f (0 K)   -699.1 meV per atom
# N(E_F)   11.0 states/eV/f.u.



Entry 4:
# PrPb2 | Alexandria | PBE | relaxed
data_PrPb2
_chemical_formula_sum 'Pr1 Pb2'
_symmetry_space_group_name_H-M 'P 1'
_symmetry_Int_Tables_number 1
_symmetry_space_group_name_Hall 'P 1'
_cell_length_a 6.348
_cell_length_b 6.348
_cell_length_c 6.348
_cell_angle_alpha 142.83
_cell_angle_beta 142.83
_cell_angle_gamma 53.58
loop_
_atom_site_label
_atom_site_fract_x
_atom_site_fract_y
_atom_site_fract_z
Pr1 0.000 0.000 0.000
Pb1 0.318 0.318 0.000
Pb2 0.682 0.682 0.000
# Uncorrected energy   -4.3421 eV/atom
# Magnetic moment   0.000 μB/f.u.
# ΔH_f (0 K)   -276.8 meV per atom
# N(E_F)   2.4 states/eV/f.u.



Entry 5:
# SrRe3Ir | Alexandria | PBE | relaxed
data_SrRe3Ir
_chemical_formula_sum 'Sr1 Re3 Ir1'
_symmetry_space_group_name_H-M 'P 1'
_symmetry_Int_Tables_number 1
_symmetry_space_group_name_Hall 'P 1'
_cell_length_a 4.835
_cell_length_b 4.835
_cell_length_c 4.835
_cell_angle_alpha 90.00
_cell_angle_beta 90.00
_cell_angle_gamma 90.00
loop_
_atom_site_label
_atom_site_fract_x
_atom_site_fract_y
_atom_site_fract_z
Sr1 0.000 0.000 0.000
Re1 0.000 0.500 0.500
Re2 0.500 0.000 0.500
Re3 0.500 0.500 0.000
Ir1 0.500 0.500 0.500
# Uncorrected energy   -7.8942 eV/atom
# Magnetic moment   0.457 μB/f.u.
# ΔH_f (0 K)   1683.3 meV per atom
# N(E_F)   5.6 states/eV/f.u.
# Energy above the lowest structure with this stoichiometry   0 meV per atom



Entry 6:
# CaSc2Co2 | Alexandria | PBE | relaxed
data_CaSc2Co2
_chemical_formula_sum 'Ca1 Sc2 Co2'
_symmetry_space_group_name_H-M 'P 1'
_symmetry_Int_Tables_number 1
_symmetry_space_group_name_Hall 'P 1'
_cell_length_a 6.229
_cell_length_b 6.229
_cell_length_c 6.229
_cell_angle_alpha 139.94
_cell_angle_beta 139.94
_cell_angle_gamma 57.94
loop_
_atom_site_label
_atom_site_fract_x
_atom_site_fract_y
_atom_site_fract_z
Ca1 0.000 0.000 0.000
Sc1 0.250 0.750 0.500
Sc2 0.750 0.250 0.500
Co1 0.395 0.395 0.000
Co2 0.605 0.605 0.000
# Uncorrected energy   -5.8416 eV/atom
# Magnetic moment   0.000 μB/f.u.
# ΔH_f (0 K)   -66.3 meV per atom
# N(E_F)   0.6 states/eV/f.u.
# Energy above the lowest structure with this stoichiometry   11 meV per atom